No. 1
First-principles (GGA-PBE) data for crystalline Rb3AcAu2O6 at its relaxed geometry, as listed in Alexandria via LeMat-Bulk.

Calculated values
Calculated density: 5.38 g/cm3
D(E_F): 0.6844 states/eV/atom

a b c (Å): 6.6855 6.6855 7.7625
angles (deg): 90.00 90.00 120.00
With the nearest neighbours (Å) after each atom.
Element x y z (fractional)
O (0.8401, 0.6802, 0.7122)  1 Au 2.01
Ac (0.0000, 0.0000, 0.5000)  6 O 2.48
O (0.6802, 0.8401, 0.2878)  1 Au 2.01
Au (0.3333, 0.6667, 0.2842)  3 O 2.01
Rb (0.6667, 0.3333, 0.2525)  6 O 3.35, 1 Au 3.60
Rb (0.0000, 0.0000, 0.0000)  6 O 2.90
O (0.3198, 0.1599, 0.7122)  1 Au 2.01
O (0.1599, 0.3198, 0.2878)  1 Au 2.01
Au (0.6667, 0.3333, 0.7158)  3 O 2.01
O (0.8401, 0.1599, 0.7122)  1 Au 2.01
Rb (0.3333, 0.6667, 0.7475)  6 O 3.35, 1 Au 3.60
O (0.1599, 0.8401, 0.2878)  1 Au 2.01

***

No. 2
First-principles (GGA-PBE) data for crystalline RbAcAuO2 at its relaxed geometry, as listed in Alexandria via LeMat-Bulk.

Calculated values
Calculated density: 5.46 g/cm3
D(E_F): 0.3209 states/eV/atom

a b c (Å): 6.0541 7.6605 7.6684
angles (deg): 112.15 90.00 90.00
With the nearest neighbours (Å) after each atom.
Element x y z (fractional)
O (0.3042, 0.1330, 0.0564)  1 Au 2.07
O (0.3042, 0.8670, 0.4436)  1 Au 2.07
Ac (0.5101, 0.0000, 0.2500)  4 O 2.44-2.45
Au (0.0000, 0.0000, 0.0000)  2 O 2.07
O (0.6958, 0.8670, 0.9436)  1 Au 2.07
Ac (0.4899, 0.0000, 0.7500)  4 O 2.44-2.45
Rb (0.1565, 0.5000, 0.2500)  2 O 2.79
O (0.6958, 0.1330, 0.5564)  1 Au 2.07
Au (0.0000, 0.0000, 0.5000)  2 O 2.07
Rb (0.8435, 0.5000, 0.7500)  2 O 2.79

***

No. 3
First-principles (GGA-PBE) data for crystalline RbAc3Au4O12 at its relaxed geometry, as listed in Alexandria via LeMat-Bulk.

Calculated values
Calculated density: 6.56 g/cm3
D(E_F): 0.5297 states/eV/atom

a b c (Å): 7.8194 7.8194 7.8194
angles (deg): 101.85 101.85 101.85
With the nearest neighbours (Å) after each atom.
Element x y z (fractional)
O (0.5000, 0.1051, 0.8949)  1 Au 1.99
Au (0.9415, 0.0585, 0.5000)  3 O 1.93-1.99
Ac (0.0000, 0.5554, 0.4446)  6 O 2.46-2.53
O (0.0195, 0.2392, 0.3770)  1 Au 1.93
O (0.1051, 0.8949, 0.5000)  1 Au 1.99
Au (0.5000, 0.9415, 0.0585)  3 O 1.93-1.99
O (0.6659, 0.5000, 0.3341)  1 Au 2.01
O (0.5000, 0.3341, 0.6659)  1 Au 2.01
Ac (0.5554, 0.4446, 0.0000)  6 O 2.46-2.53
O (0.9805, 0.6230, 0.7608)  1 Au 1.93
O (0.2392, 0.3770, 0.0195)  1 Au 1.93
O (0.3770, 0.0195, 0.2392)  1 Au 1.93
O (0.6230, 0.7608, 0.9805)  1 Au 1.93
O (0.8949, 0.5000, 0.1051)  1 Au 1.99
O (0.7608, 0.9805, 0.6230)  1 Au 1.93
Rb (0.0000, 0.0000, 0.0000)  6 O 3.11
Au (0.0585, 0.5000, 0.9415)  3 O 1.93-1.99
Ac (0.4446, 0.0000, 0.5554)  6 O 2.46-2.53
O (0.3341, 0.6659, 0.5000)  1 Au 2.01
Au (0.5000, 0.5000, 0.5000)  3 O 2.01

***

ΔE_f (raw) per entry: -13.1 -7.9 -22.1 eV/f.u.